## YSb2NF (PBE)

Data for an optimized crystal structure of YSb2NF.

## Properties
Space-group type = No. 123
Energy relative to the elements, uncorrected = -252 meV/atom
N(E_F) = 1.85 states/eV/cell
Total energy = -5.23 eV per atom

Lattice parameters (Å, degrees): 4.4618 5.1411 4.4618 90.00 90.00 90.00
Atoms (fractional coordinates):
Y 0.5000 0.5000 0.5000
Sb 0.0000 0.0000 0.5000
Sb 0.5000 0.0000 0.0000
N 0.0000 0.0000 0.0000
F 0.0000 0.5000 0.0000

## MgSc2Ni (PBE)

Data for an optimized crystal structure of MgSc2Ni.

## Properties
Space-group type = No. 123
Energy relative to the elements = -0.284 eV/atom
N(E_F) = 3.37 states/eV/cell
Total energy = -5.29 eV per atom

Lattice parameters (Å, degrees): 3.2375 3.2375 7.5225 90.00 90.00 90.00
Atoms (fractional coordinates):
Mg 0.5000 0.5000 0.5000
Sc 0.0000 0.0000 0.8001
Sc 0.0000 0.0000 0.1999
Ni 0.5000 0.5000 0.0000

## Tb3Pr3Tm5 (PBE)

Data for an optimized crystal structure of Tb3Pr3Tm5.

## Properties
Space-group type = No. 189
Energy relative to the elements = 0.808 eV/atom
N(E_F) = 16.20 states/eV/cell
Total energy = -3.79 eV per atom

Lattice parameters (Å, degrees): 5.4722 9.6191 9.6191 120.00 90.00 90.00
Atoms (fractional coordinates):
Tb 0.0000 0.4573 0.4573
Tb 0.0000 0.5427 0.0000
Tb 0.0000 0.0000 0.5427
Pr 0.5000 0.6342 0.6342
Pr 0.5000 0.0000 0.3658
Pr 0.5000 0.3658 0.0000
Tm 0.5000 0.3333 0.6667
Tm 0.5000 0.6667 0.3333
Tm 0.5000 0.2694 0.2694
Tm 0.5000 0.0000 0.7306
Tm 0.5000 0.7306 0.0000

What did the third record say?
## Tb3Pr3Tm5 (PBE)

Data for an optimized crystal structure of Tb3Pr3Tm5.

## Properties
Space-group type = No. 189
Energy relative to the elements = 0.808 eV/atom
N(E_F) = 16.20 states/eV/cell
Total energy = -3.79 eV per atom

Lattice parameters (Å, degrees): 5.4722 9.6191 9.6191 120.00 90.00 90.00
Atoms (fractional coordinates):
Tb 0.0000 0.4573 0.4573
Tb 0.0000 0.5427 0.0000
Tb 0.0000 0.0000 0.5427
Pr 0.5000 0.6342 0.6342
Pr 0.5000 0.0000 0.3658
Pr 0.5000 0.3658 0.0000
Tm 0.5000 0.3333 0.6667
Tm 0.5000 0.6667 0.3333
Tm 0.5000 0.2694 0.2694
Tm 0.5000 0.0000 0.7306
Tm 0.5000 0.7306 0.0000

> What is the N(E_F) in the third record?

16.20 states/eV/cell

Repeat the second record exactly.
## MgSc2Ni (PBE)

Data for an optimized crystal structure of MgSc2Ni.

## Properties
Space-group type = No. 123
Energy relative to the elements = -0.284 eV/atom
N(E_F) = 3.37 states/eV/cell
Total energy = -5.29 eV per atom

Lattice parameters (Å, degrees): 3.2375 3.2375 7.5225 90.00 90.00 90.00
Atoms (fractional coordinates):
Mg 0.5000 0.5000 0.5000
Sc 0.0000 0.0000 0.8001
Sc 0.0000 0.0000 0.1999
Ni 0.5000 0.5000 0.0000

> Look up the total energy of the second one.

-5.29 eV per atom